No. 1
Here is crystalline Er2BRh6 at its relaxed geometry from Alexandria. Energies are from PBE.

Properties
ΔE_f in meV per atom: -240
Symmetry: No. 12

Unit cell a=7.783 b=7.783 c=3.026 alpha=101.16 beta=101.16 gamma=56.34
Sites, in units of the cell vectors:
Er1 0.136 0.136 0.129
Er2 0.864 0.864 0.871
B1 0.500 0.500 0.500
Rh1 0.141 0.513 0.329
Rh2 0.306 0.694 0.000
Rh3 0.487 0.859 0.671
Rh4 0.513 0.141 0.329
Rh5 0.694 0.306 0.000
Rh6 0.859 0.487 0.671

No. 2
Here is crystalline ErB4Rh7 at its relaxed geometry from Alexandria. Energies are from PBE.

Properties
ΔE_f in meV per atom: -351
Symmetry: No. 47

Unit cell a=2.897 b=5.548 c=9.599 alpha=90.00 beta=90.00 gamma=90.00
Sites, in units of the cell vectors:
Er1 0.000 0.000 0.000
B1 0.000 0.000 0.332
B2 0.000 0.000 0.668
B3 0.000 0.500 0.166
B4 0.000 0.500 0.834
Rh1 0.000 0.500 0.500
Rh2 0.500 0.000 0.500
Rh3 0.500 0.253 0.254
Rh4 0.500 0.253 0.746
Rh5 0.500 0.500 0.000
Rh6 0.500 0.747 0.254
Rh7 0.500 0.747 0.746

No. 3
Here is crystalline ErBRh2 at its relaxed geometry from Alexandria. Energies are from PBE.

Properties
ΔE_f in meV per atom: -485
Symmetry: No. 65

Unit cell a=4.685 b=4.685 c=3.134 alpha=90.00 beta=90.00 gamma=113.94
Sites, in units of the cell vectors:
Er1 0.000 0.000 0.000
B1 0.500 0.500 0.000
Rh1 0.327 0.673 0.500
Rh2 0.673 0.327 0.500

No. 4
Here is crystalline ErBRh4 at its relaxed geometry from Alexandria. Energies are from PBE.

Properties
ΔE_f in meV per atom: -43
Symmetry: No. 137

Unit cell a=5.103 b=5.103 c=7.983 alpha=90.00 beta=90.00 gamma=90.00
Sites, in units of the cell vectors:
Er1 0.250 0.750 0.250
Er2 0.750 0.250 0.750
B1 0.250 0.750 0.750
B2 0.750 0.250 0.250
Rh1 0.008 0.250 0.057
Rh2 0.250 0.008 0.557
Rh3 0.250 0.492 0.557
Rh4 0.492 0.250 0.057
Rh5 0.508 0.750 0.943
Rh6 0.750 0.508 0.443
Rh7 0.750 0.992 0.443
Rh8 0.992 0.750 0.943

No. 5
Here is crystalline ErB2Rh3 at its relaxed geometry from Alexandria. Energies are from PBE.

Properties
ΔE_f in meV per atom: -717
Symmetry: No. 191

Unit cell a=5.413 b=5.413 c=3.128 alpha=90.00 beta=90.00 gamma=120.00
Sites, in units of the cell vectors:
Er1 0.000 0.000 0.000
B1 0.333 0.667 0.000
B2 0.667 0.333 0.000
Rh1 0.000 0.500 0.500
Rh2 0.500 0.000 0.500
Rh3 0.500 0.500 0.500

No. 6
Here is crystalline ErB4Rh12 at its relaxed geometry from Alexandria. Energies are from PBE.

Properties
ΔE_f in meV per atom: -154
Symmetry: No. 204

Unit cell a=6.720 b=6.720 c=6.720 alpha=109.47 beta=109.47 gamma=109.47
Sites, in units of the cell vectors:
Er1 0.000 0.000 0.000
B1 0.000 0.000 0.500
B2 0.000 0.500 0.000
B3 0.500 0.000 0.000
B4 0.500 0.500 0.500
Rh1 0.148 0.320 0.828
Rh2 0.172 0.492 0.320
Rh3 0.172 0.852 0.680
Rh4 0.320 0.172 0.492
Rh5 0.320 0.828 0.148
Rh6 0.492 0.320 0.172
Rh7 0.508 0.680 0.828
Rh8 0.680 0.172 0.852
Rh9 0.680 0.828 0.508
Rh10 0.828 0.148 0.320
Rh11 0.828 0.508 0.680
Rh12 0.852 0.680 0.172